! SrYHfAs2 | the Alexandria database | PBE | relaxed; values from VASP
&SYSTEM
  ibrav = 0, nat = 5, ntyp = 4
/
ATOMIC_SPECIES
Y 88.91 Y.upf
Sr 87.62 Sr.upf
As 74.92 As.upf
Hf 178.49 Hf.upf
ATOMIC_POSITIONS crystal
Y 0.500 0.500 0.500
Sr 0.000 0.500 0.000
As 0.000 0.000 0.500
As 0.500 0.000 0.000
Hf 0.000 0.000 0.000
CELL_PARAMETERS angstrom
-4.676 1.786 1.462
-1.636 -5.186 1.100
1.721 0.496 4.898
! ρ   5.556 Mg/m³
! DOS at the Fermi energy   5.7 states/eV/f.u.
! Energy of formation from the pure elements   0.25 eV/atom
! Space-group type   P4/mmm
! DFT total energy   -5.231 eV/atom